[1]
Tl4Hg3Pd | GGA-PBE | relaxed

The space group is C2/m (No. 12) and the conventional cell measures 29.633, 3.267 and 4.761 Å, with angles of 90.00, 99.01 and 90.00 degrees. The inequivalent atoms are Tl at (0.083, 0.000, 0.084), Tl at (0.220, 0.000, 0.221), Hg at (0.000, 0.000, 0.500), Hg at (0.151, 0.000, 0.652) and Pd at (0.000, 0.500, 0.000).

The value obtained for the magnetic moment is 0.00 μB per cell. For the energy of formation from the pure elements, the calculation gives -0.015 eV per atom.

***

[2]
Tl2Hg2Pd | GGA-PBE | relaxed

The space group is I4/mmm (No. 139) and the conventional cell measures 3.965, 3.965 and 17.386 Å, with angles of 90.00, 90.00 and 90.00 degrees. The inequivalent atoms are Tl at (0.000, 0.000, 0.087), Hg at (0.000, 0.500, 0.250) and Pd at (0.000, 0.000, 0.500).

The polymorph energy (0 for the lowest one) comes out at 0.2206 eV per atom. The value obtained for the magnetic moment is 0.00 μB per cell. For the energy of formation from the pure elements, the calculation gives 0.173 eV per atom.

***

[3]
Tl7Hg2Pd2 | GGA-PBE | relaxed

The space group is Cmmm (No. 65) and the conventional cell measures 8.872, 10.308 and 6.863 Å, with angles of 90.00, 90.00 and 90.00 degrees. The inequivalent atoms are Tl at (0.000, 0.000, 0.000), Tl at (0.000, 0.500, 0.257), Tl at (0.250, 0.250, 0.254), Hg at (0.165, 0.000, 0.500) and Pd at (0.000, 0.274, 0.000).

The value obtained for the magnetic moment is 0.00 μB per cell. For the energy of formation from the pure elements, the calculation gives -0.016 eV per atom.

***

[4]
Tl3HgPd7 | GGA-PBE | relaxed

The space group is C2/m (No. 12) and the conventional cell measures 8.938, 9.766 and 5.460 Å, with angles of 90.00, 114.23 and 90.00 degrees. The inequivalent atoms are Tl at (0.000, 0.000, 0.000), Tl at (0.000, 0.225, 0.500), Hg at (0.000, 0.500, 0.000), Pd at (0.000, 0.500, 0.500), Pd at (0.170, 0.248, 0.177) and Pd at (0.201, 0.000, 0.537).

The value obtained for the magnetic moment is 0.00 μB per cell. For the energy of formation from the pure elements, the calculation gives -0.021 eV per atom.

***

[5]
Tl4HgPd4 | GGA-PBE | relaxed

The space group is I222 (No. 23) and the conventional cell measures 5.653, 7.113 and 10.578 Å, with angles of 90.00, 90.00 and 90.00 degrees. The inequivalent atoms are Tl at (0.153, 0.215, 0.160), Hg at (0.000, 0.000, 0.500) and Pd at (0.173, 0.350, 0.407).

The value obtained for the magnetic moment is 0.00 μB per cell. For the energy of formation from the pure elements, the calculation gives -0.089 eV per atom.

***

[6]
TlHgPd6 | GGA-PBE | relaxed

The space group is Amm2 (No. 38) and the conventional cell measures 4.695, 5.763 and 9.969 Å, with angles of 90.00, 90.00 and 90.00 degrees. The inequivalent atoms are Tl at (0.000, 0.000, 0.000), Hg at (0.500, 0.000, 0.667), Pd at (0.000, 0.000, 0.498), Pd at (0.000, 0.247, 0.251), Pd at (0.500, 0.000, 0.170) and Pd at (0.500, 0.246, 0.416).

The polymorph energy (0 for the lowest one) comes out at 0.0000 eV per atom. The value obtained for the magnetic moment is 0.00 μB per cell. For the energy of formation from the pure elements, the calculation gives -0.145 eV per atom.

***

[7]
TlHg3Pd3 | GGA-PBE | relaxed

The space group is R3m (No. 160, hexagonal axes) and the conventional cell measures 9.3310, 9.3310 and 5.7169 Å, with angles of 90.00, 90.00 and 120.00 degrees. The inequivalent atoms are Tl at (0.0000, 0.0000, 0.0000), Hg at (0.0001, 0.5001, 0.0010) and Pd at (0.9999, 0.4999, 0.5009).

The polymorph energy (0 for the lowest one) comes out at 0.0000 eV per atom. The value obtained for the magnetic moment is 0.00 μB per cell. For the energy of formation from the pure elements, the calculation gives -0.119 eV per atom.

***

[8]
Tl3Hg6Pd | GGA-PBE | relaxed

The space group is P2_1/m (No. 11) and the conventional cell measures 10.307, 3.499 and 15.573 Å, with angles of 90.00, 107.68 and 90.00 degrees. The inequivalent atoms are Tl at (0.075, 0.250, 0.343), Tl at (0.271, 0.750, 0.221), Tl at (0.424, 0.750, 0.703), Hg at (0.009, 0.750, 0.884), Hg at (0.146, 0.750, 0.545), Hg at (0.186, 0.250, 0.762), Hg at (0.222, 0.250, 0.035), Hg at (0.377, 0.750, 0.443), Hg at (0.493, 0.750, 0.095) and Pd at (0.294, 0.750, 0.913).

The value obtained for the magnetic moment is 0.00 μB per cell. For the energy of formation from the pure elements, the calculation gives -0.010 eV per atom.

***

[9]
TlHg3Pd2 | GGA-PBE | relaxed

The space group is Cmcm (No. 63) and the conventional cell measures 9.659, 9.466 and 5.757 Å, with angles of 90.00, 90.00 and 90.00 degrees. The inequivalent atoms are Tl at (0.000, 0.098, 0.250), Hg at (0.000, 0.438, 0.250), Hg at (0.168, 0.249, 0.750) and Pd at (0.247, 0.000, 0.000).

The value obtained for the magnetic moment is 0.00 μB per cell. For the energy of formation from the pure elements, the calculation gives -0.121 eV per atom.

***

[10]
Tl2HgPd2 | GGA-PBE | relaxed

The space group is C2/c (No. 15) and the conventional cell measures 10.088, 5.535 and 7.926 Å, with angles of 90.00, 103.92 and 90.00 degrees. The inequivalent atoms are Tl at (0.161, 0.149, 0.150), Hg at (0.000, 0.279, 0.750) and Pd at (0.124, 0.359, 0.479).

The polymorph energy (0 for the lowest one) comes out at 0.0278 eV per atom. The value obtained for the magnetic moment is 0.00 μB per cell. For the energy of formation from the pure elements, the calculation gives -0.082 eV per atom.

***

[11]
TlHg2Pd | GGA-PBE | relaxed

The space group is P4/mmm (No. 123) and the conventional cell measures 4.267, 4.267 and 4.861 Å, with angles of 90.00, 90.00 and 90.00 degrees. The inequivalent atoms are Tl at (0.000, 0.000, 0.000), Hg at (0.000, 0.500, 0.500) and Pd at (0.500, 0.500, 0.000).

The value obtained for the magnetic moment is 0.00 μB per cell. For the energy of formation from the pure elements, the calculation gives 0.079 eV per atom.

***

[12]
Tl5HgPd | GGA-PBE | relaxed

The space group is P4/mmm (No. 123) and the conventional cell measures 4.783, 4.783 and 8.521 Å, with angles of 90.00, 90.00 and 90.00 degrees. The inequivalent atoms are Tl at (0.000, 0.000, 0.000), Tl at (0.000, 0.500, 0.302), Hg at (0.500, 0.500, 0.000) and Pd at (0.000, 0.000, 0.500).

The value obtained for the magnetic moment is 0.00 μB per cell. For the energy of formation from the pure elements, the calculation gives -0.028 eV per atom.

***

[13]
Tl4Hg3Pd2 | GGA-PBE | relaxed

The space group is C2/m (No. 12) and the conventional cell measures 15.188, 4.454 and 7.186 Å, with angles of 90.00, 109.38 and 90.00 degrees. The inequivalent atoms are Tl at (0.113, 0.000, 0.364), Tl at (0.230, 0.500, 0.159), Hg at (0.000, 0.500, 0.000), Hg at (0.094, 0.500, 0.665) and Pd at (0.097, 0.000, 0.936).

The value obtained for the magnetic moment is 0.00 μB per cell. For the energy of formation from the pure elements, the calculation gives -0.040 eV per atom.

***

[14]
TlHg2Pd | GGA-PBE | relaxed

The space group is R-3m (No. 166, hexagonal axes) and the conventional cell measures 3.1651, 3.1651 and 34.1076 Å, with angles of 90.00, 90.00 and 120.00 degrees. The inequivalent atoms are Tl at (0.0000, 0.0000, 0.0000), Hg at (0.0000, 0.0000, 0.4207) and Pd at (0.0000, 0.0000, 0.5000).

The value obtained for the magnetic moment is 0.00 μB per cell. For the energy of formation from the pure elements, the calculation gives 0.218 eV per atom.

***

[15]
Tl3HgPd3 | GGA-PBE | relaxed

The space group is P6_3/m (No. 176) and the conventional cell measures 8.6166, 8.6166 and 5.4502 Å, with angles of 90.00, 90.00 and 120.00 degrees. The inequivalent atoms are Tl at (0.0286, 0.3295, 0.2500), Hg at (0.3333, 0.6667, 0.7500) and Pd at (0.0172, 0.3502, 0.7500).

The polymorph energy (0 for the lowest one) comes out at 0.1283 eV per atom. The value obtained for the magnetic moment is 0.00 μB per cell. For the energy of formation from the pure elements, the calculation gives 0.034 eV per atom.

***

[16]
Tl2HgPd2 | GGA-PBE | relaxed

The space group is P4/mbm (No. 127) and the conventional cell measures 7.529, 7.529 and 3.737 Å, with angles of 90.00, 90.00 and 90.00 degrees. The inequivalent atoms are Tl at (0.158, 0.342, 0.000), Hg at (0.000, 0.000, 0.500) and Pd at (0.142, 0.642, 0.500).

The polymorph energy (0 for the lowest one) comes out at 0.0000 eV per atom. The value obtained for the magnetic moment is 0.00 μB per cell. For the energy of formation from the pure elements, the calculation gives -0.110 eV per atom.

***

[17]
Tl2HgPd6 | GGA-PBE | relaxed

The space group is C2/m (No. 12) and the conventional cell measures 14.535, 7.765 and 3.005 Å, with angles of 90.00, 101.08 and 90.00 degrees. The inequivalent atoms are Tl at (0.167, 0.000, 0.167), Hg at (0.000, 0.500, 0.500), Pd at (0.000, 0.190, 0.000) and Pd at (0.166, 0.310, 0.666).

The polymorph energy (0 for the lowest one) comes out at 0.0581 eV per atom. The value obtained for the magnetic moment is 0.00 μB per cell. For the energy of formation from the pure elements, the calculation gives -0.056 eV per atom.

***

[18]
Tl2Hg3Pd8 | GGA-PBE | relaxed

The space group is C2/m (No. 12) and the conventional cell measures 14.120, 7.410 and 5.411 Å, with angles of 90.00, 107.22 and 90.00 degrees. The inequivalent atoms are Tl at (0.159, 0.000, 0.196), Hg at (0.000, 0.230, 0.500), Hg at (0.000, 0.500, 0.000), Pd at (0.149, 0.500, 0.453), Pd at (0.159, 0.321, 0.937) and Pd at (0.174, 0.000, 0.696).

The polymorph energy (0 for the lowest one) comes out at 0.0685 eV per atom. The value obtained for the magnetic moment is 0.00 μB per cell. For the energy of formation from the pure elements, the calculation gives 0.020 eV per atom.

***

[19]
ZrTlHgPd | GGA-PBE | relaxed

The space group is F-43m (No. 216) and the conventional cell measures 6.875, 6.875 and 6.875 Å, with angles of 90.00, 90.00 and 90.00 degrees. The inequivalent atoms are Zr at (0.000, 0.000, 0.000), Tl at (0.250, 0.250, 0.750), Hg at (0.250, 0.250, 0.250) and Pd at (0.000, 0.000, 0.500).

The value obtained for the magnetic moment is 0.00 μB per cell. For the energy of formation from the pure elements, the calculation gives -0.126 eV per atom.

***

[20]
Tm2Hg2Pd | GGA-PBE | relaxed

The space group is Cmmm (No. 65) and the conventional cell measures 3.535, 19.448 and 3.452 Å, with angles of 90.00, 90.00 and 90.00 degrees. The inequivalent atoms are Tm at (0.000, 0.087, 0.000), Hg at (0.000, 0.311, 0.500) and Pd at (0.000, 0.500, 0.500).

The polymorph energy (0 for the lowest one) comes out at 0.0000 eV per atom. The value obtained for the magnetic moment is 0.00 μB per cell. For the energy of formation from the pure elements, the calculation gives -0.533 eV per atom.

***

[21]
TmHgPd3 | GGA-PBE | relaxed

The space group is Pmc2_1 (No. 26) and the conventional cell measures 4.152, 8.556 and 5.707 Å, with angles of 90.00, 90.00 and 90.00 degrees. The inequivalent atoms are Tm at (0.000, 0.163, 0.000), Hg at (0.500, 0.360, 0.287), Pd at (0.000, 0.167, 0.507), Pd at (0.500, 0.006, 0.255) and Pd at (0.500, 0.326, 0.775).

The value obtained for the magnetic moment is 0.00 μB per cell. For the energy of formation from the pure elements, the calculation gives -0.578 eV per atom.

***

[22]
TmHg2Pd3 | GGA-PBE | relaxed

The space group is Pmc2_1 (No. 26) and the conventional cell measures 4.447, 8.609 and 6.095 Å, with angles of 90.00, 90.00 and 90.00 degrees. The inequivalent atoms are Tm at (0.000, 0.126, 0.000), Hg at (0.000, 0.243, 0.515), Hg at (0.500, 0.415, 0.838), Pd at (0.000, 0.442, 0.127), Pd at (0.500, 0.070, 0.677) and Pd at (0.500, 0.248, 0.244).

The polymorph energy (0 for the lowest one) comes out at 0.0733 eV per atom. The value obtained for the magnetic moment is 0.00 μB per cell. For the energy of formation from the pure elements, the calculation gives -0.466 eV per atom.

***

[23]
Tm5HgPd2 | GGA-PBE | relaxed

The space group is I4/mcm (No. 140) and the conventional cell measures 7.735, 7.735 and 13.169 Å, with angles of 90.00, 90.00 and 90.00 degrees. The inequivalent atoms are Tm at (0.000, 0.000, 0.000), Tm at (0.158, 0.342, 0.142), Hg at (0.000, 0.000, 0.250) and Pd at (0.136, 0.364, 0.500).

The value obtained for the magnetic moment is 0.00 μB per cell. For the energy of formation from the pure elements, the calculation gives -0.615 eV per atom.